# 1
LaPrNd2 after structural relaxation, computed with PBE-GGA.

a b c (Å): 3.7085 3.7085 10.4821
angles (deg): 90.00 90.00 90.00
With the nearest neighbours (Å) after each atom.
Space group P4/mmm (No. 123)
Unique sites:
La (0.0000, 0.0000, 0.0000) x1  4 La 3.71, 8 Nd 3.72
Pr (0.0000, 0.0000, 0.5000) x1  8 Nd 3.70, 4 Pr 3.71
Nd (0.5000, 0.5000, 0.2511) x2  4 Pr 3.70, 4 Nd 3.71, 4 La 3.72

Calculated values
Volume in Å³ per cell: 144.2
DOS at the Fermi energy in states/eV/cell: 6.74
Relative energy among the computed polymorphs in eV/atom: 0.002
ρ in g/cm³: 6.5
Calculated formation energy in eV/atom: 0.014
Total magnetic moment in μB/cell: 0.00



# 2
PmTh2Tl after structural relaxation, computed with PBE-GGA.

a b c (Å): 3.4297 3.4297 37.3988
angles (deg): 90.00 90.00 120.00
With the nearest neighbours (Å) after each atom.
Space group R-3m (No. 166, hexagonal axes)
Unique sites:
Pm (0.0000, 0.0000, 0.0000) x3  2 Th 3.38, 6 Pm 3.43
Th (0.0000, 0.0000, 0.0905) x6  1 Pm 3.38, 6 Th 3.43, 3 Tl 3.47
Tl (0.0000, 0.0000, 0.5000) x3  6 Tl 3.43, 6 Th 3.47

Calculated values
Volume in Å³ per cell: 381.0
DOS at the Fermi energy in states/eV/cell: 15.90
Relative energy among the computed polymorphs in eV/atom: 0.295
ρ in g/cm³: 10.6
Calculated formation energy in eV/atom: 0.185
Total magnetic moment in μB/cell: 0.00